1.
AlNi2Mo | PBE | optimized geometry

Lattice parameters (Å, degrees): 8.634 2.669 4.592 90.00 101.53 90.00
Space group Cm (No. 8)
Asymmetric unit:
Al: 0.000 0.000 0.000 x2
Ni: 0.243 0.500 0.183 x2
Ni: 0.487 0.000 0.468 x2
Mo: 0.238 0.000 0.670 x2


2.
AlNi2Mo | PBE | optimized geometry

Lattice parameters (Å, degrees): 2.818 4.231 4.398 90.00 90.00 90.00
Space group Pmmm (No. 47)
Asymmetric unit:
Al: 0.000 0.000 0.000 x1
Ni: 0.000 0.500 0.500 x1
Ni: 0.500 0.500 0.000 x1
Mo: 0.500 0.000 0.500 x1


3.
AlNi2Mo | PBE | optimized geometry

Lattice parameters (Å, degrees): 2.679 4.398 8.808 90.00 90.00 90.00
Space group Imm2 (No. 44)
Asymmetric unit:
Al: 0.000 0.000 0.000 x2
Ni: 0.000 0.000 0.525 x2
Ni: 0.000 0.500 0.265 x2
Mo: 0.000 0.500 0.768 x2


4.
Al4Ni15Mo | PBE | optimized geometry

Lattice parameters (Å, degrees): 3.583 3.583 17.834 90.00 90.00 90.00
Space group P4/mmm (No. 123)
Asymmetric unit:
Al: 0.000 0.000 0.099 x2
Al: 0.000 0.000 0.295 x2
Ni: 0.000 0.500 0.000 x2
Ni: 0.000 0.500 0.199 x4
Ni: 0.000 0.500 0.399 x4
Ni: 0.500 0.500 0.100 x2
Ni: 0.500 0.500 0.299 x2
Ni: 0.500 0.500 0.500 x1
Mo: 0.000 0.000 0.500 x1


5.
AlNi6Mo | PBE | optimized geometry

Properties
- excess energy over the best structure of this formula in the dataset (eV/f.u.) = 0.07

Lattice parameters (Å, degrees): 7.205 10.191 10.177 90.00 90.00 90.00
Space group Cmmm (No. 65)
Asymmetric unit:
Al: 0.000 0.000 0.247 x4
Al: 0.000 0.252 0.000 x4
Ni: 0.000 0.000 0.000 x2
Ni: 0.000 0.000 0.500 x2
Ni: 0.000 0.251 0.251 x8
Ni: 0.000 0.500 0.000 x2
Ni: 0.000 0.500 0.500 x2
Ni: 0.250 0.124 0.125 x16
Ni: 0.250 0.125 0.375 x16
Mo: 0.000 0.253 0.500 x4
Mo: 0.000 0.500 0.243 x4


6.
AlNi2Mo | PBE | optimized geometry

Lattice parameters (Å, degrees): 2.880 2.880 6.180 90.00 90.00 90.00
Space group P4mm (No. 99)
Asymmetric unit:
Al: 0.000 0.000 0.000 x1
Ni: 0.000 0.000 0.550 x1
Ni: 0.500 0.500 0.786 x1
Mo: 0.500 0.500 0.302 x1


7.
AlNi2Mo | PBE | optimized geometry

Lattice parameters (Å, degrees): 3.785 3.785 7.224 90.00 90.00 90.00
Space group I-4m2 (No. 119)
Asymmetric unit:
Al: 0.000 0.000 0.000 x2
Ni: 0.000 0.000 0.500 x2
Ni: 0.000 0.500 0.250 x2
Mo: 0.000 0.500 0.750 x2


8.
Al2Ni9Mo | PBE | optimized geometry

Lattice parameters (Å, degrees): 3.598 3.598 10.689 90.00 90.00 90.00
Space group P4/mmm (No. 123)
Asymmetric unit:
Al: 0.000 0.000 0.161 x2
Ni: 0.000 0.500 0.000 x2
Ni: 0.000 0.500 0.333 x4
Ni: 0.500 0.500 0.166 x2
Ni: 0.500 0.500 0.500 x1
Mo: 0.000 0.000 0.500 x1


9.
Al3Ni12Mo | PBE | optimized geometry

Lattice parameters (Å, degrees): 3.590 3.590 14.249 90.00 90.00 90.00
Space group P4/mmm (No. 123)
Asymmetric unit:
Al: 0.000 0.000 0.000 x1
Al: 0.000 0.000 0.244 x2
Ni: 0.000 0.500 0.124 x4
Ni: 0.000 0.500 0.374 x4
Ni: 0.500 0.500 0.000 x1
Ni: 0.500 0.500 0.249 x2
Ni: 0.500 0.500 0.500 x1
Mo: 0.000 0.000 0.500 x1


10.
AlNi2Mo | PBE | optimized geometry

Lattice parameters (Å, degrees): 2.7088 2.7088 25.0200 90.00 90.00 120.00
Space group R3m (No. 160, hexagonal axes)
Asymmetric unit:
Al: 0.0000 0.0000 0.0000 x3
Ni: 0.0000 0.0000 0.4905 x3
Ni: 0.0000 0.0000 0.7439 x3
Mo: 0.0000 0.0000 0.2408 x3


11.
AlNi2Mo | PBE | optimized geometry

Lattice parameters (Å, degrees): 3.765 3.765 3.674 90.00 90.00 90.00
Space group P4/mmm (No. 123)
Asymmetric unit:
Al: 0.000 0.000 0.000 x1
Ni: 0.000 0.500 0.500 x2
Mo: 0.500 0.500 0.000 x1


12.
AlNi2Mo | PBE | optimized geometry

Lattice parameters (Å, degrees): 8.454 2.666 4.718 90.00 99.06 90.00
Space group C2/m (No. 12)
Asymmetric unit:
Al: 0.000 0.000 0.000 x2
Ni: 0.245 0.500 0.254 x4
Mo: 0.000 0.500 0.500 x2


Ordered formation energy from the elements results: -0.179, -0.049, -0.156, -0.369, -0.240, -0.219, -0.115, -0.332, -0.357, -0.018, -0.126, -0.131; unit eV per atom.
Ordered Fermi-level density of states results: 9.07, 3.87, 7.18, 17.42, 51.11, 3.26, 8.95, 5.43, 12.70, 12.63, 4.35, 7.66; unit states/eV per cell.